# RbSrScBe2 (PBE, optimized geometry)
data_RbSrScBe2
_cell_length_a 5.2950
_cell_length_b 5.2950
_cell_length_c 5.9691
_cell_angle_alpha 90.00
_cell_angle_beta 90.00
_cell_angle_gamma 90.00
_space_group_name_H-M_alt 'P 4/m m m'
_space_group_IT_number 123
_space_group_name_Hall '-P 4 2'
loop_
_atom_site_label
_atom_site_fract_x
_atom_site_fract_y
_atom_site_fract_z
_atom_site_occupancy
Rb1 0.0000 0.0000 0.0000 1
Sr1 0.5000 0.5000 0.0000 1
Sc1 0.5000 0.5000 0.5000 1
Be1 0.0000 0.5000 0.5000 1
# Density of states at the Fermi level: 5.62 states/eV/cell
# E_form: 1.13 eV/atom
# E_tot: -10.76 eV per cell
# V: 33.47 A^3/atom
# Size of the total moment: 0.00 μB/cell